Here is a geometry-optimized CaLaTi structure from the Alexandria database. Energies are from PBE.

Computed properties:
Formation energy from the elements   0.4 eV/f.u.
E_tot   -4.81 eV/atom
Polymorph energy (0 for the lowest one)   0.000 eV/atom

a b c (Å): 3.685 3.685 14.023
angles (deg): 90.00 90.00 90.00
Space group P4/nmm (No. 129, origin choice 2)
One atom of each set of equivalent atoms:
Ca: 0.250 0.250 0.104 x2
La: 0.250 0.250 0.682 x2
Ti: 0.250 0.250 0.463 x2

Here is a geometry-optimized CaLaTi structure from the Alexandria database. Energies are from PBE.

Computed properties:
Formation energy from the elements   0.8 eV/f.u.
E_tot   -4.68 eV/atom
Polymorph energy (0 for the lowest one)   0.127 eV/atom

a b c (Å): 5.701 3.573 9.352
angles (deg): 90.00 103.33 90.00
Space group P2_1/m (No. 11)
One atom of each set of equivalent atoms:
Ca: 0.220 0.250 0.421 x2
La: 0.375 0.750 0.834 x2
Ti: 0.103 0.750 0.103 x2

Here is a geometry-optimized CaLa3Ti structure from the Alexandria database. Energies are from PBE.

Computed properties:
Formation energy from the elements   1.7 eV/f.u.
E_tot   -4.60 eV/atom
Polymorph energy (0 for the lowest one)   0.000 eV/atom

a b c (Å): 5.723 5.723 5.723
angles (deg): 90.00 90.00 90.00
Space group Pm-3m (No. 221)
One atom of each set of equivalent atoms:
Ca: 0.000 0.000 0.000 x1
La: 0.000 0.500 0.500 x3
Ti: 0.500 0.500 0.500 x1

Here is a geometry-optimized CaLaTi2 structure from the Alexandria database. Energies are from PBE.

Computed properties:
Formation energy from the elements   2.4 eV/f.u.
E_tot   -5.08 eV/atom
Polymorph energy (0 for the lowest one)   0.000 eV/atom

a b c (Å): 7.459 7.459 7.459
angles (deg): 90.00 90.00 90.00
Space group Fm-3m (No. 225)
One atom of each set of equivalent atoms:
Ca: 0.000 0.000 0.000 x4
La: 0.000 0.000 0.500 x4
Ti: 0.250 0.250 0.250 x8

Here is a geometry-optimized CaLa3Ti structure from the Alexandria database. Energies are from PBE.

Computed properties:
Formation energy from the elements   6.3 eV/f.u.
E_tot   -3.68 eV/atom
Polymorph energy (0 for the lowest one)   0.925 eV/atom

a b c (Å): 5.718 5.718 5.718
angles (deg): 90.00 90.00 90.00
Space group Pm-3m (No. 221)
One atom of each set of equivalent atoms:
Ca: 0.000 0.000 0.000 x1
La: 0.000 0.000 0.500 x3
Ti: 0.500 0.500 0.500 x1

Here is a geometry-optimized CaLaTiZn2 structure from the Alexandria database. Energies are from PBE.

Computed properties:
Formation energy from the elements   3.7 eV/f.u.
E_tot   -2.73 eV/atom

a b c (Å): 5.210 5.210 5.121
angles (deg): 90.00 90.00 90.00
Space group P4/mmm (No. 123)
One atom of each set of equivalent atoms:
Ca: 0.000 0.000 0.000 x1
La: 0.500 0.500 0.500 x1
Ti: 0.000 0.000 0.500 x1
Zn: 0.000 0.500 0.000 x2

Here is a geometry-optimized CaLaTl6 structure from the Alexandria database. Energies are from PBE.

Computed properties:
Formation energy from the elements   -2.3 eV/f.u.
E_tot   -2.93 eV/atom

a b c (Å): 4.870 4.870 9.763
angles (deg): 90.00 90.00 90.00
Space group P4/mmm (No. 123)
One atom of each set of equivalent atoms:
Ca: 0.000 0.000 0.000 x1
La: 0.000 0.000 0.500 x1
Tl: 0.000 0.500 0.248 x4
Tl: 0.500 0.500 0.000 x1
Tl: 0.500 0.500 0.500 x1

Here is a geometry-optimized Ca2LaTl structure from the Alexandria database. Energies are from PBE.

Computed properties:
Formation energy from the elements   -0.8 eV/f.u.
E_tot   -3.03 eV/atom
Polymorph energy (0 for the lowest one)   0.000 eV/atom

a b c (Å): 5.001 5.001 5.355
angles (deg): 90.00 90.00 90.00
Space group P4/mmm (No. 123)
One atom of each set of equivalent atoms:
Ca: 0.000 0.500 0.000 x2
La: 0.000 0.000 0.500 x1
Tl: 0.500 0.500 0.500 x1

Here is a geometry-optimized Ca2LaTl structure from the Alexandria database. Energies are from PBE.

Computed properties:
Formation energy from the elements   -0.6 eV/f.u.
E_tot   -2.97 eV/atom
Polymorph energy (0 for the lowest one)   0.057 eV/atom

a b c (Å): 3.976 5.739 12.307
angles (deg): 90.00 90.00 90.00
Space group Imm2 (No. 44)
One atom of each set of equivalent atoms:
Ca: 0.000 0.000 0.000 x2
Ca: 0.000 0.500 0.215 x2
La: 0.000 0.500 0.790 x2
Tl: 0.000 0.000 0.507 x2

Here is a geometry-optimized CaLa14Tl structure from the Alexandria database. Energies are from PBE.

Computed properties:
Formation energy from the elements   -0.5 eV/f.u.
E_tot   -4.62 eV/atom

a b c (Å): 7.387 7.387 10.478
angles (deg): 90.00 90.00 90.00
Space group P4/mmm (No. 123)
One atom of each set of equivalent atoms:
Ca: 0.000 0.000 0.000 x1
La: 0.000 0.000 0.500 x1
La: 0.000 0.500 0.000 x2
La: 0.000 0.500 0.500 x2
La: 0.258 0.258 0.249 x8
La: 0.500 0.500 0.500 x1
Tl: 0.500 0.500 0.000 x1

Here is a geometry-optimized CaLa5Tl3 structure from the Alexandria database. Energies are from PBE.

Computed properties:
Formation energy from the elements   -3.0 eV/f.u.
E_tot   -4.08 eV/atom

a b c (Å): 9.7879 9.7879 7.0747
angles (deg): 90.00 90.00 120.00
Space group P6_3/mcm (No. 193)
One atom of each set of equivalent atoms:
Ca: 0.0000 0.0000 0.0000 x2
La: 0.0000 0.3384 0.2500 x6
La: 0.3333 0.6667 0.0000 x4
Tl: 0.0000 0.3261 0.7500 x6

Here is a geometry-optimized Ca2LaTl structure from the Alexandria database. Energies are from PBE.

Computed properties:
Formation energy from the elements   -0.7 eV/f.u.
E_tot   -3.00 eV/atom
Polymorph energy (0 for the lowest one)   0.028 eV/atom

a b c (Å): 3.688 3.688 10.117
angles (deg): 90.00 90.00 90.00
Space group P4/mmm (No. 123)
One atom of each set of equivalent atoms:
Ca: 0.000 0.000 0.207 x2
La: 0.500 0.500 0.500 x1
Tl: 0.500 0.500 0.000 x1